(1)
LiPtN2 | GGA-PBE | optimized geometry

Calculated values
Distance to the lowest polymorph of the same formula: 0.0000 eV per atom
VASP energy: -5.604 eV/atom
D(E_F): 9.096 states/eV per cell

Cell lengths 3.2104, 3.2104, 17.0040 Å; angles 90.00, 90.00, 120.00 degrees
Space group R-3m (No. 166, hexagonal axes)
Asymmetric unit:
Li: 0.0000 0.0000 0.0000
Pt: 0.0000 0.0000 0.5000
N: 0.0000 0.0000 0.1105

***

(2)
LiPtN2 | GGA-PBE | optimized geometry

Calculated values
Distance to the lowest polymorph of the same formula: 0.2093 eV per atom
VASP energy: -5.395 eV/atom
D(E_F): 4.909 states/eV per cell

Cell lengths 5.261, 5.261, 5.261 Å; angles 90.00, 90.00, 90.00 degrees
Space group Fm-3m (No. 225)
Asymmetric unit:
Li: 0.000 0.000 0.000
Pt: 0.000 0.000 0.500
N: 0.250 0.250 0.250

***

(3)
Li3PtN | GGA-PBE | optimized geometry

Calculated values
Distance to the lowest polymorph of the same formula: 0.0000 eV per atom
VASP energy: -4.028 eV/atom
D(E_F): 1.159 states/eV per cell

Cell lengths 3.869, 3.869, 3.869 Å; angles 90.00, 90.00, 90.00 degrees
Space group Pm-3m (No. 221)
Asymmetric unit:
Li: 0.000 0.000 0.500
Pt: 0.500 0.500 0.500
N: 0.000 0.000 0.000

***

(4)
LiPtRh2N | GGA-PBE | optimized geometry

Calculated values
VASP energy: -6.245 eV/atom
D(E_F): 6.124 states/eV per cell

Cell lengths 3.983, 3.983, 4.032 Å; angles 90.00, 90.00, 90.00 degrees
Space group P4/mmm (No. 123)
Asymmetric unit:
Li: 0.000 0.000 0.000
Pt: 0.500 0.500 0.000
Rh: 0.000 0.500 0.500
N: 0.000 0.000 0.500

***

(5)
LiRu2PtN | GGA-PBE | optimized geometry

Calculated values
VASP energy: -7.041 eV/atom
D(E_F): 2.375 states/eV per cell

Cell lengths 3.940, 3.940, 4.035 Å; angles 90.00, 90.00, 90.00 degrees
Space group P4/mmm (No. 123)
Asymmetric unit:
Li: 0.000 0.000 0.000
Ru: 0.000 0.500 0.500
Pt: 0.500 0.500 0.000
N: 0.000 0.000 0.500

***

(6)
LiPtSe2N | GGA-PBE | optimized geometry

Calculated values
Distance to the lowest polymorph of the same formula: 0.0000 eV per atom
VASP energy: -4.415 eV/atom
D(E_F): 4.808 states/eV per cell

Cell lengths 5.343, 5.343, 3.651 Å; angles 90.00, 90.00, 90.00 degrees
Space group P4/mmm (No. 123)
Asymmetric unit:
Li: 0.000 0.000 0.000
Pt: 0.500 0.500 0.500
Se: 0.000 0.500 0.500
N: 0.500 0.500 0.000

***

Total magnetic moment across the listed records, respectively: 0.0; 0.0; 0.0; 0.7; 0.0; 0.0 μB/cell.